This record from the Alexandria database describes crystalline BaBe2Sb at its relaxed geometry. The functional is GGA-PBE.

crystal system: trigonal
uncorrected formation energy: -0.009 eV/atom

a = 4.0192 Å, b = 4.0192 Å, c = 6.9608 Å
α = 73.19°, β = 73.19°, γ = 60.00°
Closest atoms and distances in Å follow each position.
Element x y z (fractional)
1 Sb 0.5442 0.5442 0.3669  6 Be 2.67
2 Ba 0.7329 0.7329 0.8020  6 Be 3.32-3.33, 4 Sb 3.68-3.71
3 Be 0.9443 0.9443 0.1670  3 Be 2.32
4 Be 0.2786 0.2786 0.1641  3 Be 2.32

=====

This record from the Alexandria database describes crystalline YMg2Cu2 at its relaxed geometry. The functional is GGA-PBE.

crystal system: tetragonal
formation enthalpy at 0 K: -52 meV/atom
excess energy over the best structure of this formula in the dataset: 101 meV per atom

a = 4.1216 Å, b = 4.1216 Å, c = 11.7446 Å
α = 90.00°, β = 90.00°, γ = 90.00°
Closest atoms and distances in Å follow each position.
Element x y z (fractional)
1 Y 0.5000 0.0000 0.7519  4 Cu 3.12, 4 Mg 3.25
2 Y 0.0000 0.5000 0.2481  4 Cu 3.12, 4 Mg 3.25
3 Mg 0.5000 0.0000 0.3714  5 Cu 2.56-2.58
4 Mg 0.0000 0.5000 0.6286  5 Cu 2.56-2.58
5 Mg 0.0000 0.0000 0.0000  4 Cu 2.73, 4 Mg 2.91
6 Mg 0.5000 0.5000 0.0000  4 Cu 2.73, 4 Mg 2.91
7 Cu 0.5000 0.0000 0.1521  5 Mg 2.58-2.73
8 Cu 0.0000 0.5000 0.8479  5 Mg 2.58-2.73
9 Cu 0.0000 0.0000 0.5000  4 Mg 2.56
10 Cu 0.5000 0.5000 0.5000  4 Mg 2.56

=====

Calculated M_tot, 0.0, 0.0 μB/f.u. (same order as the records).